(1)
Pm3ZnTe6: relaxed, PBE.

Unit cell a=9.811 b=9.811 c=7.248 alpha=90.00 beta=90.00 gamma=101.71
Fractional positions:
Pm1 0.110 0.890 0.500
Pm2 0.226 0.426 0.598
Pm3 0.426 0.226 0.098
Pm4 0.574 0.774 0.598
Pm5 0.774 0.574 0.098
Pm6 0.890 0.110 0.000
Zn1 0.294 0.706 0.144
Zn2 0.706 0.294 0.644
Te1 0.059 0.588 0.318
Te2 0.134 0.188 0.300
Te3 0.188 0.134 0.800
Te4 0.274 0.726 0.782
Te5 0.412 0.941 0.318
Te6 0.460 0.540 0.282
Te7 0.540 0.460 0.782
Te8 0.588 0.059 0.818
Te9 0.726 0.274 0.282
Te10 0.812 0.866 0.300
Te11 0.866 0.812 0.800
Te12 0.941 0.412 0.818

Output
- E_form (uncorrected) (eV/f.u.) = -11.00
- N(E_F) (states/eV per cell) = 12.091
- space-group type = No. 36

=====

(2)
Pm5ZnTe5: relaxed, PBE.

Unit cell a=7.680 b=7.680 c=8.793 alpha=106.92 beta=106.92 gamma=48.30
Fractional positions:
Pm1 0.000 0.000 0.000
Pm2 0.337 0.337 0.165
Pm3 0.337 0.337 0.670
Pm4 0.663 0.663 0.330
Pm5 0.663 0.663 0.835
Zn1 0.500 0.500 0.000
Te1 0.163 0.163 0.826
Te2 0.170 0.170 0.336
Te3 0.500 0.500 0.500
Te4 0.830 0.830 0.664
Te5 0.837 0.837 0.174

Output
- E_form (uncorrected) (eV/f.u.) = -13.33
- N(E_F) (states/eV per cell) = 5.259
- space-group type = No. 12

=====

(3)
Pm2ZnTe4: relaxed, PBE.

Unit cell a=8.013 b=8.013 c=7.582 alpha=115.11 beta=115.11 gamma=32.53
Fractional positions:
Pm1 0.239 0.239 0.247
Pm2 0.761 0.761 0.753
Zn1 0.500 0.500 0.500
Te1 0.123 0.123 0.783
Te2 0.390 0.390 0.698
Te3 0.610 0.610 0.302
Te4 0.877 0.877 0.217

Output
- E_form (uncorrected) (eV/f.u.) = -7.29
- space-group type = No. 12

=====

(4)
Pm3Zn5Te12: relaxed, PBE.

Unit cell a=14.865 b=14.865 c=14.865 alpha=109.47 beta=109.47 gamma=109.47
Fractional positions:
Pm1 0.125 0.250 0.375
Pm2 0.125 0.375 0.750
Pm3 0.250 0.375 0.125
Pm4 0.250 0.875 0.625
Pm5 0.375 0.125 0.250
Pm6 0.375 0.750 0.125
Pm7 0.625 0.250 0.875
Pm8 0.625 0.875 0.750
Pm9 0.750 0.125 0.375
Pm10 0.750 0.625 0.875
Pm11 0.875 0.625 0.250
Pm12 0.875 0.750 0.625
Zn1 0.000 0.000 0.000
Zn2 0.000 0.000 0.500
Zn3 0.000 0.500 0.000
Zn4 0.000 0.500 0.500
Zn5 0.125 0.750 0.875
Zn6 0.125 0.875 0.250
Zn7 0.250 0.125 0.875
Zn8 0.250 0.625 0.375
Zn9 0.375 0.250 0.625
Zn10 0.375 0.625 0.750
Zn11 0.500 0.000 0.000
Zn12 0.500 0.000 0.500
Zn13 0.500 0.500 0.000
Zn14 0.500 0.500 0.500
Zn15 0.625 0.375 0.250
Zn16 0.625 0.750 0.375
Zn17 0.750 0.375 0.625
Zn18 0.750 0.875 0.125
Zn19 0.875 0.125 0.750
Zn20 0.875 0.250 0.125
Te1 0.037 0.214 0.124
Te2 0.037 0.323 0.913
Te3 0.087 0.624 0.410
Te4 0.087 0.963 0.677
Te5 0.090 0.714 0.677
Te6 0.090 0.876 0.413
Te7 0.124 0.037 0.214
Te8 0.124 0.587 0.910
Te9 0.177 0.214 0.590
Te10 0.177 0.463 0.587
Te11 0.214 0.124 0.037
Te12 0.214 0.590 0.177
Te13 0.286 0.323 0.910
Te14 0.286 0.463 0.376
Te15 0.323 0.910 0.286
Te16 0.323 0.913 0.037
Te17 0.376 0.286 0.463
Te18 0.376 0.590 0.913
Te19 0.410 0.087 0.624
Te20 0.410 0.823 0.786
Te21 0.413 0.090 0.876
Te22 0.413 0.823 0.537
Te23 0.463 0.376 0.286
Te24 0.463 0.587 0.177
Te25 0.537 0.413 0.823
Te26 0.537 0.624 0.714
Te27 0.587 0.177 0.463
Te28 0.587 0.910 0.124
Te29 0.590 0.177 0.214
Te30 0.590 0.913 0.376
Te31 0.624 0.410 0.087
Te32 0.624 0.714 0.537
Te33 0.677 0.087 0.963
Te34 0.677 0.090 0.714
Te35 0.714 0.537 0.624
Te36 0.714 0.677 0.090
Te37 0.786 0.410 0.823
Te38 0.786 0.876 0.963
Te39 0.823 0.537 0.413
Te40 0.823 0.786 0.410
Te41 0.876 0.413 0.090
Te42 0.876 0.963 0.786
Te43 0.910 0.124 0.587
Te44 0.910 0.286 0.323
Te45 0.913 0.037 0.323
Te46 0.913 0.376 0.590
Te47 0.963 0.677 0.087
Te48 0.963 0.786 0.876

Output
- E_form (uncorrected) (eV/f.u.) = -11.38
- N(E_F) (states/eV per cell) = 56.028
- space-group type = No. 230

=====

(5)
Pm2ZnTe: relaxed, PBE.

Unit cell a=3.916 b=3.916 c=6.979 alpha=90.00 beta=90.00 gamma=90.00
Fractional positions:
Pm1 0.000 0.000 0.244
Pm2 0.000 0.000 0.756
Zn1 0.500 0.500 0.000
Te1 0.500 0.500 0.500

Output
- E_form (uncorrected) (eV/f.u.) = -2.98
- N(E_F) (states/eV per cell) = 3.378
- space-group type = No. 123
- polymorph energy (0 for the lowest one) (kJ/mol of atoms) = 8.1

=====

(6)
Pm2Zn2Te: relaxed, PBE.

Unit cell a=8.034 b=8.034 c=8.034 alpha=31.94 beta=31.94 gamma=31.94
Fractional positions:
Pm1 0.084 0.084 0.084
Pm2 0.916 0.916 0.916
Zn1 0.333 0.333 0.333
Zn2 0.667 0.667 0.667
Te1 0.500 0.500 0.500

Output
- E_form (uncorrected) (eV/f.u.) = -3.95
- N(E_F) (states/eV per cell) = 4.209
- space-group type = No. 166